[1]
A plane-wave DFT calculation with GGA-PBE was carried out for a relaxed structure of Sc2Ga2N.

Lattice parameters (Å, degrees): 6.3032 6.3032 4.2901 90.00 90.00 90.00
Sites, in units of the cell vectors:
Sc 0.1613 0.6613 0.5000
Sc 0.6613 0.8387 0.5000
Sc 0.8387 0.3387 0.5000
Sc 0.3387 0.1613 0.5000
Ga 0.3514 0.8514 0.0000
Ga 0.8514 0.6486 0.0000
Ga 0.6486 0.1486 0.0000
Ga 0.1486 0.3514 0.0000
N 0.0000 0.0000 0.0000
N 0.5000 0.5000 0.0000

Summary:
The density of states at the Fermi level is 3.52 states/eV/cell. Its relative energy among the computed polymorphs is 596.6 meV/atom. As for the formation energy (no corrections): 3.2 kJ per mole of atoms. The space-group type is P4/mbm (127).

[2]
A plane-wave DFT calculation with GGA-PBE was carried out for a relaxed structure of Sc5GaN6.

Lattice parameters (Å, degrees): 5.4955 5.4977 5.4943 59.98 80.37 70.47
Sites, in units of the cell vectors:
Sc 0.5000 0.1660 0.6681
Sc 0.0000 0.3330 0.3339
Sc 0.5000 0.5000 0.0000
Sc 0.0000 0.6670 0.6661
Sc 0.5000 0.8340 0.3319
Ga 0.0000 0.0000 0.0000
N 0.7513 0.0829 0.3326
N 0.2487 0.5845 0.3326
N 0.2509 0.2495 0.0000
N 0.7491 0.7505 0.0000
N 0.7513 0.4155 0.6674
N 0.2487 0.9171 0.6674

Summary:
The density of states at the Fermi level is 0.05 states/eV/cell. As for the formation energy (no corrections): -150.6 kJ per mole of atoms. The space-group type is C2/m (12).

[3]
A plane-wave DFT calculation with GGA-PBE was carried out for a relaxed structure of ScGa3N.

Lattice parameters (Å, degrees): 5.2065 5.2065 5.2065 90.00 90.00 90.00
Site moments in Bohr magnetons follow the coordinates.
Sites, in units of the cell vectors:
Sc 0.0000 0.0000 0.0000  0.39
Ga 0.0000 0.5000 0.0000  0.07
Ga 0.0000 0.0000 0.5000  0.04
Ga 0.5000 0.0000 0.0000  0.06
N 0.5000 0.5000 0.5000  0.08

Summary:
The density of states at the Fermi level is 5.47 states/eV/cell. Its relative energy among the computed polymorphs is 1410.7 meV/atom. As for the formation energy (no corrections): 162.8 kJ per mole of atoms. The space-group type is Pm-3m (221).

[4]
A plane-wave DFT calculation with GGA-PBE was carried out for a relaxed structure of Sc6Ga2N.

Lattice parameters (Å, degrees): 6.2279 6.2279 6.2279 60.00 60.00 60.00
Sites, in units of the cell vectors:
Sc 0.7462 0.2538 0.2538
Sc 0.2538 0.2538 0.7462
Sc 0.7462 0.7462 0.2538
Sc 0.2538 0.7462 0.2538
Sc 0.7462 0.2538 0.7462
Sc 0.2538 0.7462 0.7462
Ga 0.2500 0.2500 0.2500
Ga 0.7500 0.7500 0.7500
N 0.5000 0.5000 0.5000

Summary:
The density of states at the Fermi level is 8.07 states/eV/cell. Its relative energy among the computed polymorphs is 0.0 meV/atom. As for the formation energy (no corrections): -73.5 kJ per mole of atoms. The space-group type is Fm-3m (225).

[5]
A plane-wave DFT calculation with GGA-PBE was carried out for a relaxed structure of Sc4GaN.

Lattice parameters (Å, degrees): 4.5380 7.7924 8.5053 90.00 90.00 125.63
Sites, in units of the cell vectors:
Sc 0.5331 0.7831 0.7500
Sc 0.4669 0.2169 0.2500
Sc 0.3414 0.0914 0.7500
Sc 0.6586 0.9086 0.2500
Sc 0.9414 0.6915 0.0584
Sc 0.0586 0.3085 0.5584
Sc 0.9414 0.6915 0.4416
Sc 0.0586 0.3085 0.9416
Ga 0.7777 0.5276 0.7500
Ga 0.2223 0.4724 0.2500
N 0.8554 0.1057 0.7500
N 0.1446 0.8943 0.2500

Summary:
The density of states at the Fermi level is 10.78 states/eV/cell. As for the formation energy (no corrections): -68.1 kJ per mole of atoms. The space-group type is Pmmn (59).

[6]
A plane-wave DFT calculation with GGA-PBE was carried out for a relaxed structure of ScGa2N.

Lattice parameters (Å, degrees): 7.6214 7.6214 5.8163 49.07 49.07 90.00
Sites, in units of the cell vectors:
Sc 0.0000 0.0000 0.0000
Sc 0.7500 0.2500 0.5000
Ga 0.5348 0.1250 0.2500
Ga 0.2152 0.6250 0.2500
Ga 0.3750 0.4652 0.7500
Ga 0.8750 0.7848 0.7500
N 0.5000 0.5000 0.0000
N 0.2500 0.7500 0.5000

Summary:
The density of states at the Fermi level is 2.32 states/eV/cell. As for the formation energy (no corrections): -18.9 kJ per mole of atoms. The space-group type is I-42d (122).

[7]
A plane-wave DFT calculation with GGA-PBE was carried out for a relaxed structure of Sc6Ga2N.

Lattice parameters (Å, degrees): 3.2534 8.1603 7.8940 121.12 90.00 90.00
Site moments in Bohr magnetons follow the coordinates.
Sites, in units of the cell vectors:
Sc 0.5000 0.6002 0.0000  0.02
Sc 0.5000 0.4322 0.4132  0.06
Sc 0.5000 0.0190 0.5868  0.06
Sc 0.0000 0.2692 0.0000  0.02
Sc 0.0000 0.7881 0.7822  0.08
Sc 0.0000 0.0060 0.2178  0.08
Ga 0.0000 0.3436 0.6609  -0.01
Ga 0.0000 0.6827 0.3391  -0.01
N 0.5000 0.8591 0.0000  -0.01

Summary:
The density of states at the Fermi level is 11.56 states/eV/cell. Its relative energy among the computed polymorphs is 184.6 meV/atom. As for the formation energy (no corrections): -55.7 kJ per mole of atoms. The space-group type is Amm2 (38).

[8]
A plane-wave DFT calculation with GGA-PBE was carried out for a relaxed structure of Sc2GaN.

Lattice parameters (Å, degrees): 4.4961 4.4961 4.4961 60.00 60.00 60.00
Sites, in units of the cell vectors:
Sc 0.2500 0.2500 0.2500
Sc 0.7500 0.7500 0.7500
Ga 0.5000 0.5000 0.5000
N 0.0000 0.0000 0.0000

Summary:
The density of states at the Fermi level is 4.43 states/eV/cell. As for the formation energy (no corrections): 5.7 kJ per mole of atoms. The space-group type is Fm-3m (225).